VASP calculation (SCAN) on a PBEsol-optimized structure of AlInCl2.

```
AlInCl2
1.0
3.337 0.000 0.000
0.000 5.616 0.203
0.000 -1.492 5.539
In Cl Al
1 2 1
Direct
0.000 0.151 0.498
0.000 0.821 0.877
0.500 0.518 0.257
0.500 0.511 0.868
```

Properties
* E above lowest polymorph: 0.000 eV per atom
* formation energy from raw total energies: -0.80 eV/atom
* crystal system: monoclinic